[1]
Pm2TmTe4, optimized geometry, DFT GGA-PBE; formation energy from raw total energies = -1.384 eV/atom; total moment = 0.0 μB per cell; E above lowest polymorph = 0.0 meV per atom; calculated density = 6.56 Mg/m³
1.0
-2.574 -2.812 2.179
3.745 -5.932 -3.231
4.091 4.374 6.052
Pm Tm Te
2 1 4
direct
0.741 0.754 0.483
0.259 0.246 0.517
0.000 0.000 0.000
0.884 0.209 0.768
0.116 0.791 0.232
0.624 0.282 0.248
0.376 0.718 0.752

[2]
PmTmTe, optimized geometry, DFT GGA-PBE; formation energy from raw total energies = -0.486 eV/atom; total moment = 0.0 μB per cell; E above lowest polymorph = 301.4 meV per atom; calculated density = 7.90 Mg/m³
1.0
4.003 0.000 0.000
0.000 5.176 0.000
0.000 -2.588 4.482
Tm Te Pm
1 1 1
direct
0.117 0.000 0.000
0.273 0.333 0.667
0.610 0.667 0.333

[3]
PmTm2Te5, optimized geometry, DFT GGA-PBE; formation energy from raw total energies = -1.165 eV/atom; total moment = 0.0 μB per cell; calculated density = 7.95 Mg/m³
1.0
8.100 0.000 0.000
0.000 8.100 0.000
-4.050 -4.050 7.135
Pm Tm Te
2 4 10
direct
0.750 0.750 0.500
0.250 0.250 0.500
0.151 0.349 0.000
0.651 0.151 0.000
0.349 0.849 0.000
0.849 0.651 0.000
0.512 0.695 0.707
0.805 0.988 0.293
0.000 0.000 0.000
0.500 0.500 0.000
0.195 0.012 0.707
0.695 0.195 0.707
0.012 0.512 0.707
0.305 0.805 0.293
0.988 0.488 0.293
0.488 0.305 0.293

[4]
PmTm3Te6, optimized geometry, DFT GGA-PBE; formation energy from raw total energies = -1.371 eV/atom; total moment = 0.0 μB per cell; calculated density = 7.25 Mg/m³
1.0
-4.041 0.562 -1.506
-0.038 -11.665 -4.255
-4.429 0.160 11.944
Pm Tm Te
2 6 12
direct
0.750 0.047 0.698
0.250 0.953 0.302
0.750 0.435 0.835
0.250 0.565 0.165
0.750 0.683 0.501
0.250 0.317 0.499
0.750 0.156 0.083
0.250 0.844 0.917
0.750 0.482 0.617
0.250 0.518 0.383
0.750 0.916 0.096
0.250 0.084 0.904
0.750 0.392 0.060
0.250 0.608 0.940
0.750 0.742 0.277
0.250 0.258 0.723
0.750 0.115 0.468
0.250 0.885 0.532
0.750 0.804 0.750
0.250 0.196 0.250

[5]
Pm3Tm2Te5, optimized geometry, DFT GGA-PBE; formation energy from raw total energies = -1.318 eV/atom; total moment = 0.0 μB per cell; calculated density = 7.77 Mg/m³
1.0
-1.800 -3.225 2.360
1.204 -6.463 -3.843
6.707 -1.551 7.067
Pm Tm Te
3 2 5
direct
0.500 0.500 0.500
0.902 0.889 0.308
0.098 0.111 0.692
0.304 0.292 0.099
0.696 0.708 0.901
0.000 0.000 0.000
0.207 0.198 0.388
0.793 0.802 0.612
0.615 0.583 0.187
0.385 0.417 0.813

[6]
PmY2Tm3Te6, optimized geometry, DFT GGA-PBE; formation energy from raw total energies = -1.259 eV/atom; total moment = 0.0 μB per cell; calculated density = 7.57 Mg/m³
1.0
-2.794 -0.017 3.289
-2.439 -8.162 -2.115
8.614 -1.156 4.480
Pm Y Tm Te
1 2 3 6
direct
0.500 0.000 0.000
0.836 0.672 0.672
0.164 0.328 0.328
0.500 0.500 0.000
0.837 0.168 0.673
0.163 0.832 0.327
0.328 0.920 0.657
0.667 0.585 0.333
0.672 0.080 0.343
0.999 0.260 0.998
0.001 0.740 0.002
0.333 0.415 0.667

[7]
PmY2TmTe6, optimized geometry, DFT GGA-PBE; formation energy from raw total energies = -1.369 eV/atom; total moment = 0.0 μB per cell; calculated density = 5.73 Mg/m³
1.0
-4.497 3.312 5.340
1.355 -1.248 7.504
3.246 6.271 4.435
Pm Y Tm Te
1 2 1 6
direct
0.821 0.821 0.536
0.510 0.510 0.471
0.008 0.008 0.975
0.324 0.324 0.029
0.599 0.234 0.248
0.234 0.919 0.248
0.919 0.599 0.248
0.408 0.728 0.754
0.727 0.111 0.754
0.111 0.408 0.754

[8]
Pm3Y3TmTe8, optimized geometry, DFT GGA-PBE; formation energy from raw total energies = -1.404 eV/atom; total moment = 0.0 μB per cell; calculated density = 6.54 Mg/m³
1.0
-8.683 -0.748 -1.019
5.156 -7.030 -0.998
-1.236 3.432 8.018
Pm Y Tm Te
3 3 1 8
direct
0.000 0.000 0.000
0.000 0.500 0.000
0.500 0.500 0.000
0.500 0.000 0.500
0.500 0.500 0.500
0.000 0.500 0.500
0.000 0.000 0.500
0.253 0.505 0.258
0.747 0.495 0.742
0.749 0.499 0.255
0.251 0.501 0.745
0.749 0.005 0.255
0.251 0.995 0.745
0.256 0.005 0.255
0.744 0.995 0.745

[9]
PmY2TmTe5, optimized geometry, DFT GGA-PBE; formation energy from raw total energies = -0.720 eV/atom; total moment = 0.7 μB per cell; calculated density = 5.32 Mg/m³
1.0
-2.170 -4.983 -0.774
2.465 -1.783 4.570
-9.375 3.109 6.269
Pm Y Tm Te
1 2 1 5
direct
0.000 0.000 0.000
0.500 0.500 0.351
0.500 0.500 0.649
0.000 0.000 0.500
0.000 0.500 0.500
0.500 0.000 0.500
0.000 0.000 0.750
0.000 0.000 0.250
0.500 0.500 0.000

[10]
Pm2YTm3Te6, optimized geometry, DFT GGA-PBE; formation energy from raw total energies = -1.277 eV/atom; total moment = 0.0 μB per cell; calculated density = 7.75 Mg/m³
1.0
-2.242 -1.998 -3.106
7.476 -3.523 -3.130
-2.110 -5.352 7.972
Pm Y Tm Te
2 1 3 6
direct
0.831 0.662 0.662
0.169 0.338 0.338
0.500 0.000 0.000
0.500 0.500 0.000
0.830 0.165 0.660
0.170 0.835 0.340
0.334 0.926 0.667
0.662 0.592 0.324
0.666 0.074 0.333
0.996 0.252 0.993
0.004 0.748 0.007
0.338 0.408 0.676

[11]
Pm3YTm2Te6, optimized geometry, DFT GGA-PBE; formation energy from raw total energies = -1.318 eV/atom; total moment = 0.0 μB per cell; calculated density = 7.50 Mg/m³
1.0
4.346 0.000 0.000
0.000 8.895 0.200
-2.173 -2.686 9.263
Pm Y Tm Te
3 1 2 6
direct
0.500 0.500 0.000
0.836 0.168 0.672
0.164 0.832 0.328
0.500 0.000 0.000
0.835 0.669 0.669
0.165 0.331 0.331
0.334 0.907 0.668
0.671 0.575 0.341
0.666 0.093 0.332
0.004 0.246 0.008
0.996 0.754 0.992
0.329 0.425 0.659

[12]
Pm2UTe5, optimized geometry, DFT GGA-PBE; formation energy from raw total energies = -1.056 eV/atom; total moment = 4.0 μB per cell; calculated density = 7.43 Mg/m³
1.0
-0.024 -3.860 2.094
0.171 -4.128 -7.607
13.704 0.064 0.274
Pm U Te
4 2 10
direct
0.500 0.527 0.177
0.500 0.473 0.823
0.500 0.973 0.677
0.500 0.027 0.323
0.000 0.500 0.500
0.000 0.000 0.000
0.000 0.000 0.500
0.000 0.500 0.000
0.000 0.820 0.196
0.000 0.180 0.804
0.000 0.680 0.696
0.000 0.320 0.304
0.500 0.673 0.396
0.500 0.327 0.604
0.500 0.827 0.896
0.500 0.173 0.104

What is the formula in the third record?
PmTm2Te5

Look up the total moment of the twelfth one.
4.0 μB per cell